1.
An optimized crystal structure of Nb11Ni4Rh9, computed with PBE.

Lattice parameters (Å, degrees): 2.9201 11.9402 11.9402 116.87 90.00 90.00
Fractional positions:
1 Nb 0.0000 0.0000 0.0000
2 Ni 0.5000 0.5616 0.7553
3 Rh 0.5000 0.0567 0.2045
4 Nb 0.0000 0.0426 0.3946
5 Rh 0.5000 0.3859 0.8385
6 Nb 0.0000 0.7107 0.7107
7 Nb 0.0000 0.8275 0.1725
8 Ni 0.5000 0.4384 0.2447
9 Rh 0.5000 0.9433 0.7955
10 Rh 0.5000 0.2045 0.0567
11 Nb 0.0000 0.3717 0.6283
12 Rh 0.5000 0.5000 0.5000
13 Ni 0.5000 0.2447 0.4384
14 Rh 0.5000 0.7955 0.9433
15 Ni 0.5000 0.7553 0.5616
16 Rh 0.5000 0.1615 0.6141
17 Nb 0.0000 0.6054 0.9574
18 Rh 0.5000 0.6141 0.1615
19 Nb 0.0000 0.6283 0.3717
20 Nb 0.0000 0.2893 0.2893
21 Rh 0.5000 0.8385 0.3859
22 Nb 0.0000 0.3946 0.0426
23 Nb 0.0000 0.1725 0.8275
24 Nb 0.0000 0.9574 0.6054

## Properties
The calculation puts the total energy at -8.688 eV per atom. For the spin magnetization, the calculation gives 0.00 μB/cell. As for the crystal system: orthorhombic. For the formation energy, the calculation gives -0.35 eV/atom.

***

2.
An optimized crystal structure of Pr2AgSb3Pt4, computed with PBE.

Lattice parameters (Å, degrees): 4.6055 4.6055 10.6004 90.00 90.00 90.00
Fractional positions:
1 Pr 0.5000 0.0000 0.2425
2 Sb 0.5000 0.0000 0.8696
3 Pt 0.0000 0.5000 0.3710
4 Pt 0.5000 0.0000 0.6290
5 Sb 0.0000 0.0000 0.5000
6 Pr 0.0000 0.5000 0.7575
7 Ag 0.5000 0.5000 0.5000
8 Sb 0.0000 0.5000 0.1304
9 Pt 0.0000 0.0000 0.0000
10 Pt 0.5000 0.5000 0.0000

## Properties
The calculation puts the total energy at -5.662 eV per atom. For the spin magnetization, the calculation gives 0.00 μB/cell. As for the crystal system: tetragonal.

***

3.
An optimized crystal structure of Tb12Sm2Tm, computed with PBE.

Lattice parameters (Å, degrees): 6.7798 6.7798 23.4816 92.38 92.38 115.43
Fractional positions:
1 Tb 0.3005 0.3006 0.1920
2 Sm 0.9281 0.4281 0.7151
3 Tb 0.1995 0.1994 0.8080
4 Tb 0.5814 0.5815 0.3213
5 Tb 0.7877 0.2877 0.1442
6 Tb 0.6994 0.6995 0.8080
7 Tb 0.8563 0.3563 0.4271
8 Tb 0.2878 0.7878 0.1443
9 Tb 0.4821 0.4821 0.9344
10 Tb 0.0815 0.0814 0.3213
11 Tb 0.1433 0.6433 0.5727
12 Tb 0.3606 0.3609 0.4422
13 Sm 0.4282 0.9282 0.7150
14 Tb 0.8006 0.8005 0.1920
15 Tb 0.1394 0.1391 0.5578
16 Tb 0.9821 0.9821 0.9344
17 Tm 0.0002 0.5002 0.0000
18 Tb 0.6437 0.1437 0.5729
19 Tb 0.7123 0.2123 0.8558
20 Tb 0.5179 0.5179 0.0656
21 Tb 0.0179 0.0179 0.0656
22 Tb 0.4185 0.4186 0.6787
23 Tb 0.8609 0.8606 0.4422
24 Tb 0.6391 0.6394 0.5578
25 Tb 0.2122 0.7122 0.8557
26 Tb 0.3567 0.8567 0.4273
27 Sm 0.0718 0.5718 0.2850
28 Tb 0.9186 0.9185 0.6787
29 Tm 0.4998 0.9998 0.0000
30 Sm 0.5719 0.0719 0.2849

## Properties
The calculation puts the total energy at -4.554 eV per atom. For the spin magnetization, the calculation gives 0.00 μB/cell. As for the crystal system: monoclinic. For the formation energy, the calculation gives 0.08 eV/atom.

***

4.
An optimized crystal structure of Dy2AlF8, computed with PBE.

Lattice parameters (Å, degrees): 4.6105 5.8498 5.8498 75.68 105.04 105.04
Each line ends with the local moment (μB).
Fractional positions:
1 F 0.8240 0.5882 0.5882  0.01
2 Dy 0.6298 0.3299 0.3299  0.28
3 Al 0.0000 0.0000 0.0000  0.00
4 F 0.2543 0.3098 0.9557  0.01
5 F 0.7698 0.1202 0.1202  0.01
6 F 0.1760 0.4118 0.4118  0.01
7 F 0.7457 0.0443 0.6902  0.01
8 Dy 0.3702 0.6701 0.6701  0.28
9 F 0.7457 0.6902 0.0443  0.01
10 F 0.2302 0.8798 0.8798  0.01
11 F 0.2543 0.9557 0.3098  0.01

## Properties
The calculation puts the total energy at -6.178 eV per atom. For the spin magnetization, the calculation gives 0.82 μB/cell. As for the crystal system: monoclinic.

***

5.
An optimized crystal structure of ScSbSe2N, computed with PBE.

Lattice parameters (Å, degrees): 5.2840 5.2840 4.0562 90.00 90.00 90.00
Each line ends with the local moment (μB).
Fractional positions:
1 N 0.0000 0.0000 0.5000  0.85
2 Sc 0.0000 0.0000 0.0000  -0.01
3 Sb 0.5000 0.5000 0.5000  0.01
4 Se 0.0000 0.5000 0.0000  0.09
5 Se 0.5000 0.0000 0.0000  0.09

## Properties
The calculation puts the total energy at -5.166 eV per atom. For the spin magnetization, the calculation gives 1.54 μB/cell. As for the crystal system: tetragonal.

***

6.
An optimized crystal structure of Rb2TlSe, computed with PBE.

Lattice parameters (Å, degrees): 10.4613 10.4613 8.1435 50.04 50.04 90.00
Each line ends with the local moment (μB).
Fractional positions:
1 Se 0.2500 0.7500 0.5000  0.06
2 Rb 0.2069 0.6250 0.2500  0.02
3 Tl 0.0000 0.0000 0.0000  0.14
4 Rb 0.3750 0.4569 0.7500  0.02
5 Rb 0.8750 0.7931 0.7500  0.02
6 Tl 0.7500 0.2500 0.5000  0.14
7 Rb 0.5431 0.1250 0.2500  0.02
8 Se 0.5000 0.5000 0.0000  0.06

## Properties
The calculation puts the total energy at -2.357 eV per atom. For the spin magnetization, the calculation gives 2.00 μB/cell. As for the crystal system: tetragonal.

***

7.
An optimized crystal structure of SrTcGe3, computed with PBE.

Lattice parameters (Å, degrees): 5.8731 6.2989 6.3003 119.99 90.00 90.00
Each line ends with the local moment (μB).
Fractional positions:
1 Ge 0.7500 0.6112 0.8054  0.01
2 Ge 0.2499 0.8056 0.6113  0.01
3 Sr 0.7499 0.6665 0.3329  0.00
4 Sr 0.2501 0.3335 0.6671  0.00
5 Tc 0.0000 0.0000 0.0000  0.87
6 Ge 0.7501 0.1944 0.3887  0.01
7 Tc 0.5000 0.0000 0.0000  0.87
8 Ge 0.2500 0.8058 0.1946  0.01
9 Ge 0.7500 0.1942 0.8054  0.01
10 Ge 0.2500 0.3888 0.1946  0.01

## Properties
The calculation puts the total energy at -5.499 eV per atom. For the spin magnetization, the calculation gives 2.05 μB/cell. As for the crystal system: hexagonal. For the formation energy, the calculation gives -0.32 eV/atom.

***

8.
An optimized crystal structure of Si3H12Pb, computed with PBE.

Lattice parameters (Å, degrees): 7.8637 7.8637 9.5636 65.72 65.72 60.00
Fractional positions:
1 H 0.0131 0.7319 0.0917
2 H 0.8938 0.4878 0.1205
3 H 0.3868 0.1840 0.8889
4 H 0.9979 0.9878 0.6205
5 H 0.2319 0.5131 0.5917
6 Si 0.8763 0.1426 0.4950
7 H 0.1840 0.5403 0.8889
8 Si 0.3763 0.9860 0.9950
9 Si 0.6426 0.3763 0.9950
10 Si 0.9860 0.6426 0.9950
11 H 0.4741 0.8316 0.9036
12 H 0.4979 0.8938 0.1205
13 H 0.0403 0.6840 0.3889
14 H 0.6632 0.2319 0.5917
15 H 0.8316 0.7908 0.9036
16 H 0.6840 0.8868 0.3889
17 H 0.7908 0.4741 0.9036
18 H 0.3316 0.9741 0.4036
19 Si 0.1426 0.4860 0.4950
20 H 0.4878 0.4979 0.1205
21 H 0.8868 0.0403 0.3889
22 H 0.2908 0.3316 0.4036
23 H 0.9878 0.3938 0.6205
24 Pb 0.5622 0.5622 0.3134
25 H 0.1632 0.0131 0.0917
26 H 0.5403 0.3868 0.8889
27 Pb 0.0622 0.0622 0.8134
28 H 0.9741 0.2908 0.4036
29 Si 0.4860 0.8763 0.4950
30 H 0.5131 0.6632 0.5917
31 H 0.7319 0.1632 0.0917
32 H 0.3938 0.9979 0.6205

## Properties
The calculation puts the total energy at -3.595 eV per atom. For the spin magnetization, the calculation gives 0.00 μB/cell. As for the crystal system: trigonal.

***

9.
An optimized crystal structure of RbBPb, computed with PBE.

Lattice parameters (Å, degrees): 12.0183 4.0151 8.3535 90.00 90.00 90.00
Fractional positions:
1 Rb 0.7156 0.2500 0.9505
2 B 0.5927 0.2500 0.5985
3 B 0.9073 0.7500 0.0985
4 Rb 0.2844 0.7500 0.0495
5 Pb 0.5127 0.2500 0.3270
6 B 0.0927 0.2500 0.9015
7 B 0.4073 0.7500 0.4015
8 Rb 0.2156 0.2500 0.5495
9 Pb 0.0127 0.2500 0.1730
10 Rb 0.7844 0.7500 0.4505
11 Pb 0.9873 0.7500 0.8270
12 Pb 0.4873 0.7500 0.6730

## Properties
The calculation puts the total energy at -3.047 eV per atom. For the spin magnetization, the calculation gives 0.00 μB/cell. As for the crystal system: orthorhombic. For the formation energy, the calculation gives 0.74 eV/atom.

***

10.
An optimized crystal structure of NdTaP2Ru, computed with PBE.

Lattice parameters (Å, degrees): 3.9475 3.9475 6.5581 107.52 107.52 90.00
Fractional positions:
1 Ru 0.2500 0.7500 0.5000
2 P 0.3757 0.3757 0.7513
3 Nd 0.0000 0.0000 0.0000
4 Ta 0.7500 0.2500 0.5000
5 P 0.6243 0.6243 0.2487

## Properties
The calculation puts the total energy at -8.148 eV per atom. For the spin magnetization, the calculation gives 0.00 μB/cell. As for the crystal system: tetragonal. For the formation energy, the calculation gives -0.80 eV/atom.

***

11.
An optimized crystal structure of CdSeCl2, computed with PBE.

Lattice parameters (Å, degrees): 11.7027 11.7027 11.7027 17.28 17.28 17.28
Each line ends with the local moment (μB).
Fractional positions:
1 Cl 0.0657 0.0657 0.0657  0.00
2 Se 0.5000 0.5000 0.5000  0.39
3 Cd 0.0000 0.0000 0.0000  0.00
4 Cl 0.9343 0.9343 0.9343  0.00

## Properties
The calculation puts the total energy at -1.940 eV per atom. For the spin magnetization, the calculation gives 0.64 μB/cell. As for the crystal system: trigonal.

***

12.
An optimized crystal structure of Mn3Tl2Cl8, computed with PBE.

Lattice parameters (Å, degrees): 6.5936 7.6625 8.6311 116.35 105.64 90.00
Each line ends with the local moment (μB).
Fractional positions:
1 Cl 0.8973 0.0944 0.1889  0.08
2 Cl 0.3862 0.8645 0.1859  0.06
3 Mn 0.0000 0.2593 0.0000  4.45
4 Cl 0.1027 0.9056 0.8111  0.08
5 Tl 0.6668 0.7300 0.4600  0.01
6 Cl 0.9540 0.6025 0.2050  0.07
7 Mn 0.0000 0.7407 0.0000  4.45
8 Cl 0.6138 0.6786 0.8141  0.06
9 Cl 0.0460 0.3975 0.7950  0.07
10 Cl 0.6138 0.1355 0.8141  0.06
11 Tl 0.3332 0.2700 0.5400  0.01
12 Mn 0.5000 0.0000 0.0000  4.42
13 Cl 0.3862 0.3214 0.1859  0.06

## Properties
The calculation puts the total energy at -4.688 eV per atom. For the spin magnetization, the calculation gives 15.00 μB/cell. As for the crystal system: monoclinic.

***

13.
An optimized crystal structure of PaGe2Te6, computed with PBE.

Lattice parameters (Å, degrees): 7.8174 9.7325 9.7325 84.65 64.32 64.32
Fractional positions:
1 Ge 0.4726 0.1955 0.3678
2 Te 0.6303 0.3458 0.4942
3 Te 0.2242 0.7707 0.9645
4 Te 0.2057 0.1134 0.6309
5 Ge 0.0274 0.6322 0.8045
6 Te 0.8697 0.5058 0.6542
7 Ge 0.5274 0.8045 0.6322
8 Te 0.7758 0.2293 0.0355
9 Pa 0.7500 0.9260 0.0740
10 Te 0.7057 0.6309 0.1134
11 Te 0.2943 0.3691 0.8866
12 Te 0.7242 0.9645 0.7707
13 Te 0.7943 0.8866 0.3691
14 Te 0.3697 0.6542 0.5058
15 Ge 0.9726 0.3678 0.1955
16 Te 0.1303 0.4942 0.3458
17 Te 0.2758 0.0355 0.2293
18 Pa 0.2500 0.0740 0.9260

## Properties
The calculation puts the total energy at -4.442 eV per atom. For the spin magnetization, the calculation gives 0.00 μB/cell. As for the crystal system: monoclinic.

***

14.
An optimized crystal structure of NdSc2Rh, computed with PBE.

Lattice parameters (Å, degrees): 3.3073 3.3073 8.3670 90.00 90.00 90.00
Fractional positions:
1 Sc 0.0000 0.0000 0.1855
2 Sc 0.0000 0.0000 0.8145
3 Nd 0.5000 0.5000 0.5000
4 Rh 0.5000 0.5000 0.0000

## Properties
The calculation puts the total energy at -6.660 eV per atom. For the spin magnetization, the calculation gives 0.00 μB/cell. As for the crystal system: tetragonal. For the formation energy, the calculation gives -0.46 eV/atom.

***

15.
An optimized crystal structure of LaTb6Dy2Y3, computed with PBE.

Lattice parameters (Å, degrees): 6.1937 6.1937 11.8642 94.97 94.97 119.97
Fractional positions:
1 Tb 0.5810 0.9155 0.7486
2 Y 0.5000 0.5000 0.5000
3 Tb 0.4190 0.0845 0.2514
4 La 0.0000 0.0000 0.0000
5 Y 0.1671 0.8329 0.5000
6 Tb 0.9155 0.5810 0.7486
7 Dy 0.3334 0.6666 0.0000
8 Tb 0.2502 0.2502 0.7484
9 Dy 0.6666 0.3334 0.0000
10 Tb 0.7498 0.7498 0.2516
11 Tb 0.0845 0.4190 0.2514
12 Y 0.8329 0.1671 0.5000

## Properties
The calculation puts the total energy at -5.089 eV per atom. For the spin magnetization, the calculation gives 0.00 μB/cell. As for the crystal system: monoclinic. For the formation energy, the calculation gives 0.02 eV/atom.

***

16.
An optimized crystal structure of PaHg3, computed with PBE.

Lattice parameters (Å, degrees): 3.0978 5.7977 6.4084 116.89 103.99 90.00
Each line ends with the local moment (μB).
Fractional positions:
1 Hg 0.7515 0.1097 0.5030  0.00
2 Hg 0.2485 0.6067 0.4970  0.00
3 Hg 0.5000 0.4761 0.0000  0.00
4 Pa 0.0000 0.9741 0.0000  0.66

## Properties
The calculation puts the total energy at -2.470 eV per atom. For the spin magnetization, the calculation gives 0.74 μB/cell. As for the crystal system: orthorhombic. For the formation energy, the calculation gives 0.13 eV/atom.

***

17.
An optimized crystal structure of SiSbC, computed with PBE.

Lattice parameters (Å, degrees): 11.9637 3.1423 5.4971 90.00 98.45 90.00
Fractional positions:
1 C 0.2986 0.0000 0.2619
2 Sb 0.7150 0.5000 0.2284
3 Si 0.4938 0.5000 0.1568
4 Sb 0.0213 0.5000 0.0055
5 C 0.4377 0.0000 0.3062
6 C 0.2986 0.5000 0.7619
7 C 0.4377 0.5000 0.8062
8 Si 0.4938 0.0000 0.6567
9 Si 0.2426 0.0000 0.5766
10 Si 0.2426 0.5000 0.0766
11 Sb 0.7150 0.0000 0.7284
12 Sb 0.0213 0.0000 0.5055

## Properties
The calculation puts the total energy at -6.060 eV per atom. For the spin magnetization, the calculation gives 0.00 μB/cell. As for the crystal system: monoclinic.

***

18.
An optimized crystal structure of Pm8SmY6, computed with PBE.

Lattice parameters (Å, degrees): 5.9584 9.9404 9.9404 120.00 90.00 90.00
Fractional positions:
1 Pm 0.2241 0.6667 0.3333
2 Y 0.7412 0.4711 0.3783
3 Pm 0.7743 0.0534 0.2750
4 Pm 0.2257 0.2750 0.2217
5 Pm 0.7743 0.2217 0.9466
6 Y 0.2588 0.0928 0.4711
7 Y 0.2588 0.3783 0.9072
8 Pm 0.2257 0.7783 0.0534
9 Pm 0.7743 0.7250 0.7783
10 Pm 0.2257 0.9466 0.7250
11 Y 0.7412 0.6217 0.0928
12 Y 0.7412 0.9072 0.5289
13 Pm 0.7759 0.3333 0.6667
14 Y 0.2588 0.5289 0.6217
15 Sm 0.5000 0.0000 0.0000

## Properties
The calculation puts the total energy at -5.280 eV per atom. For the spin magnetization, the calculation gives 0.00 μB/cell. As for the crystal system: trigonal. For the formation energy, the calculation gives 0.15 eV/atom.

***

19.
An optimized crystal structure of MnBeSi2, computed with PBE.

Lattice parameters (Å, degrees): 4.4148 4.4148 4.4148 136.11 132.19 66.90
Each line ends with the local moment (μB).
Fractional positions:
1 Si 0.0001 0.0001 0.0000  -0.01
2 Mn 0.2516 0.7516 0.5000  0.74
3 Si 0.7462 0.2462 0.5000  0.00
4 Be 0.5021 0.5021 0.0000  -0.01

## Properties
The calculation puts the total energy at -5.985 eV per atom. For the spin magnetization, the calculation gives 0.71 μB/cell. As for the crystal system: orthorhombic.

***

20.
An optimized crystal structure of La6HOs2I3, computed with PBE.

Lattice parameters (Å, degrees): 7.2355 7.2355 8.6107 98.05 98.05 119.99
Fractional positions:
1 I 0.8313 0.1687 0.5000
2 La 0.5972 0.9379 0.8140
3 La 0.7209 0.7209 0.1859
4 Os 0.3334 0.6666 0.0000
5 Os 0.6666 0.3334 0.0000
6 I 0.1687 0.8313 0.5000
7 La 0.9379 0.5972 0.8140
8 I 0.5000 0.5000 0.5000
9 La 0.4028 0.0621 0.1860
10 La 0.0621 0.4028 0.1860
11 H 0.0000 0.0000 0.0000
12 La 0.2791 0.2791 0.8141

## Properties
The calculation puts the total energy at -5.755 eV per atom. For the spin magnetization, the calculation gives 0.00 μB/cell. As for the crystal system: monoclinic.